MnBi2F8 | Alexandria via LeMat-Bulk | PBE+U | relaxed; E_tot = -57.31 eV for the cell shown; total magnetization = 5.000 μB/f.u.
1.0
7.409 -1.886 0.000
7.409 1.886 0.000
-1.899 0.000 5.191
Mn Bi F
1 2 8
direct
0.000 0.000 0.000
0.329 0.329 0.321
0.671 0.671 0.679
0.091 0.091 0.417
0.175 0.175 0.965
0.279 0.279 0.676
0.462 0.462 0.175
0.538 0.538 0.825
0.721 0.721 0.324
0.825 0.825 0.035
0.909 0.909 0.583